First-principles (PBE-GGA) data for a geometry-optimized Sc3Pa2NbN6 structure, as listed in the Alexandria database.

Its crystal system is monoclinic. The uncorrected formation energy comes out at -1.65 eV/atom. Its density of states at the Fermi level is 0.2977 states/eV/atom.

The structure belongs to space group C2/m (No. 12); the cell edges are 5.660, 9.810 and 5.794 Å and the angles 90.00°, 108.54° and 90.00°. The asymmetric unit holds Sc at (0.000, 0.000, 0.000), Sc at (0.000, 0.338, 0.000), Pa at (0.000, 0.167, 0.500), Nb at (0.000, 0.500, 0.500), N at (0.244, 0.500, 0.233) and N at (0.246, 0.167, 0.239).

First-principles (PBE-GGA) data for a geometry-optimized Sm2PaNbN4 structure, as listed in the Alexandria database.

Its crystal system is monoclinic. The uncorrected formation energy comes out at -1.41 eV/atom. Its density of states at the Fermi level is 0.4083 states/eV/atom.

The structure belongs to space group P2/m (No. 10); the cell edges are 5.887, 3.441 and 6.002 Å and the angles 90.00°, 108.90° and 90.00°. The asymmetric unit holds Sm at (0.000, 0.000, 0.000), Sm at (0.500, 0.500, 0.000), Pa at (0.000, 0.500, 0.500), Nb at (0.500, 0.000, 0.500), N at (0.247, 0.000, 0.721) and N at (0.265, 0.500, 0.284).

First-principles (PBE-GGA) data for a geometry-optimized SmPaNbN4 structure, as listed in the Alexandria database.

Its crystal system is orthorhombic. The uncorrected formation energy comes out at -1.19 eV/atom. Its density of states at the Fermi level is 0.6174 states/eV/atom.

The structure belongs to space group Cmcm (No. 63); the cell edges are 5.707, 12.266 and 5.701 Å and the angles 90.00°, 90.00° and 90.00°. The asymmetric unit holds Sm at (0.000, 0.108, 0.250), Pa at (0.000, 0.390, 0.250), Nb at (0.000, 0.237, 0.750), N at (0.000, 0.075, 0.750), N at (0.000, 0.440, 0.750) and N at (0.250, 0.250, 0.000).

Q: Which E_tot values were calculated for the entries above? A: -9.822 -9.201 -9.412, in eV/atom.